1.
# Ga2Tc2Sb PBE optimized geometry
data_Ga2Tc2Sb
_cell_length_a 7.006
_cell_length_b 7.006
_cell_length_c 3.411
_cell_angle_alpha 90.00
_cell_angle_beta 90.00
_cell_angle_gamma 90.00
_symmetry_space_group_name_H-M 'P 1'
_symmetry_Int_Tables_number 1
loop_
_symmetry_equiv_pos_as_xyz
'x,y,z'
loop_
_atom_site_label
_atom_site_fract_x
_atom_site_fract_y
_atom_site_fract_z
Ga1 0.143 0.357 0.000
Ga2 0.357 0.857 0.000
Ga3 0.643 0.143 0.000
Ga4 0.857 0.643 0.000
Tc1 0.152 0.652 0.500
Tc2 0.348 0.152 0.500
Tc3 0.652 0.848 0.500
Tc4 0.848 0.348 0.500
Sb1 0.000 0.000 0.500
Sb2 0.500 0.500 0.500
# * ρ: 9.070 g cm⁻³
# * formation energy from raw total energies: 41 meV per atom
# * calculated total energy: -6.140 eV/atom
# * polymorph energy (0 for the lowest one): 0.07 eV/f.u.
# * SG: P4/mbm, No. 127



2.
# GaTcSb2Te PBE optimized geometry
data_GaTcSb2Te
_cell_length_a 5.064
_cell_length_b 5.064
_cell_length_c 5.763
_cell_angle_alpha 90.00
_cell_angle_beta 90.00
_cell_angle_gamma 90.00
_symmetry_space_group_name_H-M 'P 1'
_symmetry_Int_Tables_number 1
loop_
_symmetry_equiv_pos_as_xyz
'x,y,z'
loop_
_atom_site_label
_atom_site_fract_x
_atom_site_fract_y
_atom_site_fract_z
Ga1 0.000 0.000 0.000
Tc1 0.500 0.500 0.500
Sb1 0.000 0.500 0.500
Sb2 0.500 0.000 0.500
Te1 0.500 0.500 0.000
# * ρ: 6.054 g cm⁻³
# * formation energy from raw total energies: 469 meV per atom
# * calculated total energy: -4.487 eV/atom
# * polymorph energy (0 for the lowest one): 0.00 eV/f.u.
# * SG: P4/mmm, No. 123



3.
# GaTcSb2Te PBE optimized geometry
data_GaTcSb2Te
_cell_length_a 5.233
_cell_length_b 5.233
_cell_length_c 5.337
_cell_angle_alpha 90.00
_cell_angle_beta 90.00
_cell_angle_gamma 90.00
_symmetry_space_group_name_H-M 'P 1'
_symmetry_Int_Tables_number 1
loop_
_symmetry_equiv_pos_as_xyz
'x,y,z'
loop_
_atom_site_label
_atom_site_fract_x
_atom_site_fract_y
_atom_site_fract_z
Ga1 0.000 0.000 0.000
Tc1 0.500 0.500 0.500
Sb1 0.000 0.500 0.000
Sb2 0.500 0.000 0.000
Te1 0.000 0.000 0.500
# * ρ: 6.122 g cm⁻³
# * formation energy from raw total energies: 1203 meV per atom
# * calculated total energy: -3.753 eV/atom
# * polymorph energy (0 for the lowest one): 3.67 eV/f.u.
# * SG: P4/mmm, No. 123



4.
# TlGa2TcSb PBE optimized geometry
data_TlGa2TcSb
_cell_length_a 4.945
_cell_length_b 4.945
_cell_length_c 5.178
_cell_angle_alpha 90.00
_cell_angle_beta 90.00
_cell_angle_gamma 90.00
_symmetry_space_group_name_H-M 'P 1'
_symmetry_Int_Tables_number 1
loop_
_symmetry_equiv_pos_as_xyz
'x,y,z'
loop_
_atom_site_label
_atom_site_fract_x
_atom_site_fract_y
_atom_site_fract_z
Tl1 0.000 0.000 0.000
Ga1 0.000 0.500 0.500
Ga2 0.500 0.000 0.500
Tc1 0.500 0.500 0.500
Sb1 0.500 0.500 0.000
# * ρ: 7.392 g cm⁻³
# * formation energy from raw total energies: 86 meV per atom
# * calculated total energy: -4.495 eV/atom
# * SG: P4/mmm, No. 123



5.
# GaSb2Te PBE optimized geometry
data_GaSb2Te
_cell_length_a 7.495
_cell_length_b 7.495
_cell_length_c 7.495
_cell_angle_alpha 90.00
_cell_angle_beta 90.00
_cell_angle_gamma 90.00
_symmetry_space_group_name_H-M 'P 1'
_symmetry_Int_Tables_number 1
loop_
_symmetry_equiv_pos_as_xyz
'x,y,z'
loop_
_atom_site_label
_atom_site_fract_x
_atom_site_fract_y
_atom_site_fract_z
Ga1 0.000 0.000 0.000
Ga2 0.000 0.500 0.500
Ga3 0.500 0.000 0.500
Ga4 0.500 0.500 0.000
Sb1 0.250 0.250 0.250
Sb2 0.250 0.250 0.750
Sb3 0.250 0.750 0.250
Sb4 0.250 0.750 0.750
Sb5 0.750 0.250 0.250
Sb6 0.750 0.250 0.750
Sb7 0.750 0.750 0.250
Sb8 0.750 0.750 0.750
Te1 0.000 0.000 0.500
Te2 0.000 0.500 0.000
Te3 0.500 0.000 0.000
Te4 0.500 0.500 0.500
# * ρ: 6.954 g cm⁻³
# * formation energy from raw total energies: 251 meV per atom
# * calculated total energy: -3.353 eV/atom
# * polymorph energy (0 for the lowest one): 0.20 eV/f.u.
# * SG: Fm-3m, No. 225



6.
# Ga2Sb2Te PBE optimized geometry
data_Ga2Sb2Te
_cell_length_a 8.684
_cell_length_b 8.684
_cell_length_c 3.446
_cell_angle_alpha 90.00
_cell_angle_beta 90.00
_cell_angle_gamma 90.00
_symmetry_space_group_name_H-M 'P 1'
_symmetry_Int_Tables_number 1
loop_
_symmetry_equiv_pos_as_xyz
'x,y,z'
loop_
_atom_site_label
_atom_site_fract_x
_atom_site_fract_y
_atom_site_fract_z
Ga1 0.128 0.372 0.000
Ga2 0.372 0.872 0.000
Ga3 0.628 0.128 0.000
Ga4 0.872 0.628 0.000
Sb1 0.173 0.673 0.500
Sb2 0.327 0.173 0.500
Sb3 0.673 0.827 0.500
Sb4 0.827 0.327 0.500
Te1 0.000 0.000 0.500
Te2 0.500 0.500 0.500
# * ρ: 6.525 g cm⁻³
# * formation energy from raw total energies: 106 meV per atom
# * calculated total energy: -3.382 eV/atom
# * polymorph energy (0 for the lowest one): 0.09 eV/f.u.
# * SG: P4/mbm, No. 127